Model w:
Computed, not measured: CaCeDy2 after structural relaxation at the PBE-GGA level of DFT.

abc: 5.1257 5.1257 5.0542
angles: 90.00 90.00 90.00
Last column: nearest neighbours and their distance in Å.
Space group P4/mmm (No. 123)
Symmetry-distinct sites (fractional):
Ca 0.0000 0.0000 0.0000  8 Dy 3.60, 4 Ce 3.62
Ce 0.5000 0.5000 0.0000  8 Dy 3.60, 4 Ca 3.62
Dy 0.0000 0.5000 0.5000  4 Ce 3.60, 4 Ca 3.60, 4 Dy 3.62

Results
As for the crystal system: tetragonal. As for the volume: 33.2 A^3/atom.



Model x:
Computed, not measured: CaCeDy2 after structural relaxation at the PBE-GGA level of DFT.

abc: 8.1351 8.1351 8.1351
angles: 90.00 90.00 90.00
Last column: nearest neighbours and their distance in Å.
Space group Fm-3m (No. 225)
Symmetry-distinct sites (fractional):
Ca 0.0000 0.0000 0.0000  8 Dy 3.52
Ce 0.0000 0.0000 0.5000  8 Dy 3.52
Dy 0.2500 0.2500 0.2500  4 Ce 3.52, 4 Ca 3.52

Results
As for the crystal system: cubic. As for the volume: 33.6 A^3/atom.



Energies relative to the minimum, meV/atom: model w 0; model x 46



Model w:
Computed, not measured: CaCeDy2 after structural relaxation at the PBE-GGA level of DFT.

abc: 3.5739 3.5739 35.3549
angles: 90.00 90.00 120.00
Last column: nearest neighbours and their distance in Å.
Space group R3m (No. 160, hexagonal axes)
Symmetry-distinct sites (fractional):
Ca 0.0000 0.0000 0.0000  6 Ca 3.57, 6 Dy 3.74-3.78
Ce 0.0000 0.0000 0.1657  6 Dy 3.43-3.45, 6 Ce 3.57
Dy 0.0000 0.0000 0.5771  3 Ce 3.45, 6 Dy 3.57, 3 Ca 3.78
Dy 0.0000 0.0000 0.7549  3 Ce 3.43, 6 Dy 3.57, 3 Ca 3.74

Results
As for the crystal system: trigonal. As for the volume: 32.6 A^3/atom.



Model x:
Computed, not measured: CaCeDy2 after structural relaxation at the PBE-GGA level of DFT.

abc: 3.6016 3.6016 10.1433
angles: 90.00 90.00 90.00
Last column: nearest neighbours and their distance in Å.
Space group P4/mmm (No. 123)
Symmetry-distinct sites (fractional):
Ca 0.0000 0.0000 0.0000  4 Ca 3.60, 8 Dy 3.79
Ce 0.0000 0.0000 0.5000  8 Dy 3.41, 4 Ce 3.60
Dy 0.5000 0.5000 0.2763  4 Ce 3.41, 4 Dy 3.60, 4 Ca 3.79

Results
As for the crystal system: tetragonal. As for the volume: 32.9 A^3/atom.



Model y:
Computed, not measured: CaCeDy2 after structural relaxation at the PBE-GGA level of DFT.

abc: 3.5090 3.5090 37.0612
angles: 90.00 90.00 120.00
Last column: nearest neighbours and their distance in Å.
Space group R-3m (No. 166, hexagonal axes)
Symmetry-distinct sites (fractional):
Ca 0.0000 0.0000 0.0000  2 Dy 3.40, 6 Ca 3.51
Ce 0.0000 0.0000 0.5000  6 Dy 3.44, 6 Ce 3.51
Dy 0.0000 0.0000 0.0917  1 Ca 3.40, 3 Ce 3.44, 6 Dy 3.51

Results
As for the crystal system: trigonal. As for the volume: 32.9 A^3/atom.



Energies relative to the minimum, meV/atom: model w 0; model x 6; model y 94



Model w:
Computed, not measured: CaCeEr after structural relaxation at the PBE-GGA level of DFT.

abc: 3.5592 3.5592 15.8952
angles: 90.00 90.00 90.00
Last column: nearest neighbours and their distance in Å.
Space group I4mm (No. 107)
Symmetry-distinct sites (fractional):
Ca 0.0000 0.0000 0.0000  4 Ca 3.56, 4 Er 3.76, 4 Ce 3.78
Ce 0.0000 0.0000 0.3227  4 Er 3.44, 4 Ce 3.56, 4 Ca 3.78
Er 0.0000 0.0000 0.6756  4 Ce 3.44, 4 Er 3.56, 4 Ca 3.76

Results
As for the crystal system: tetragonal. As for the volume: 33.6 A^3/atom.



Model x:
Computed, not measured: CaCeEr after structural relaxation at the PBE-GGA level of DFT.

abc: 3.5758 3.5758 9.0186
angles: 90.00 90.00 120.00
Last column: nearest neighbours and their distance in Å.
Space group P3m1 (No. 156)
Symmetry-distinct sites (fractional):
Ca 0.0000 0.0000 0.0000  6 Ca 3.58, 3 Er 3.74, 3 Ce 3.78
Ce 0.3333 0.6667 0.6494  3 Er 3.43, 6 Ce 3.58, 3 Ca 3.78
Er 0.6667 0.3333 0.3453  3 Ce 3.43, 6 Er 3.58, 3 Ca 3.74

Results
As for the crystal system: trigonal. As for the volume: 33.3 A^3/atom.



Energies relative to the minimum, meV/atom: model w 14; model x 0



Model w:
Computed, not measured: Ca2CeEu after structural relaxation at the PBE-GGA level of DFT.

abc: 3.7188 3.7188 11.4377
angles: 90.00 90.00 90.00
Last column: nearest neighbours and their distance in Å.
Space group P4/mmm (No. 123)
Symmetry-distinct sites (fractional):
Ca 0.0000 0.0000 0.2391  4 Ca 3.72, 4 Ce 3.79, 4 Eu 3.98
Ce 0.5000 0.5000 0.0000  4 Ce 3.72, 8 Ca 3.79
Eu 0.5000 0.5000 0.5000  4 Eu 3.72, 8 Ca 3.98

Results
As for the crystal system: tetragonal. As for the volume: 39.5 A^3/atom.



Model x:
Computed, not measured: Ca2CeEu after structural relaxation at the PBE-GGA level of DFT.

abc: 8.6067 8.6067 8.6067
angles: 90.00 90.00 90.00
Last column: nearest neighbours and their distance in Å.
Space group Fm-3m (No. 225)
Symmetry-distinct sites (fractional):
Ca 0.2500 0.2500 0.2500  4 Ce 3.73, 4 Eu 3.73
Ce 0.0000 0.0000 0.0000  8 Ca 3.73
Eu 0.0000 0.0000 0.5000  8 Ca 3.73

Results
As for the crystal system: cubic. As for the volume: 39.8 A^3/atom.



Energies relative to the minimum, meV/atom: model w 0; model x 52



Model w:
Computed, not measured: CaCeGa after structural relaxation at the PBE-GGA level of DFT.

abc: 4.8452 4.8452 8.6420
angles: 90.00 90.00 120.00
Last column: nearest neighbours and their distance in Å.
Space group P-3m1 (No. 164)
Symmetry-distinct sites (fractional):
Ca 0.3333 0.6667 0.1442  3 Ga 3.16
Ce 0.3333 0.6667 0.5674  3 Ga 2.98, 3 Ce 3.03
Ga 0.0000 0.0000 0.3153  3 Ce 2.98, 3 Ca 3.16, 1 Ga 3.19

Results
As for the crystal system: trigonal. As for the volume: 29.3 A^3/atom.



Model x:
Computed, not measured: CaCeGa after structural relaxation at the PBE-GGA level of DFT.

abc: 3.6546 3.8630 11.6107
angles: 90.00 91.89 90.00
Last column: nearest neighbours and their distance in Å.
Space group P2_1/m (No. 11)
Symmetry-distinct sites (fractional):
Ca 0.2361 0.2500 0.3694  4 Ga 3.20-3.25, 1 Ce 3.54
Ce 0.1794 0.2500 0.0648  2 Ce 2.75
Ga 0.2923 0.2500 0.7885  5 Ce 3.13-3.25, 4 Ca 3.20-3.25

Results
As for the crystal system: monoclinic. As for the volume: 27.3 A^3/atom.



Energies relative to the minimum, meV/atom: model w 102; model x 0



Model w:
Computed, not measured: CaCeGa after structural relaxation at the PBE-GGA level of DFT.

abc: 3.4835 3.4835 14.0571
angles: 90.00 90.00 90.00
Last column: nearest neighbours and their distance in Å.
Space group I4mm (No. 107)
Symmetry-distinct sites (fractional):
Ca 0.0000 0.0000 0.0000  4 Ga 3.17, 4 Ca 3.48
Ce 0.0000 0.0000 0.2762  4 Ga 3.10
Ga 0.0000 0.0000 0.6421  4 Ce 3.10, 4 Ca 3.17

Results
As for the crystal system: tetragonal. As for the volume: 28.4 A^3/atom.



Model x:
Computed, not measured: CaCeGa after structural relaxation at the PBE-GGA level of DFT.

abc: 3.7234 3.7234 24.4992
angles: 90.00 90.00 90.00
Last column: nearest neighbours and their distance in Å.
Space group I4/mmm (No. 139)
Symmetry-distinct sites (fractional):
Ca 0.0000 0.0000 0.0763  4 Ga 3.21, 1 Ce 3.55
Ce 0.0000 0.0000 0.2214  4 Ce 2.98, 5 Ga 3.11-3.14
Ga 0.0000 0.0000 0.3485  5 Ce 3.11-3.14, 4 Ca 3.21

Results
As for the crystal system: tetragonal. As for the volume: 28.3 A^3/atom.



Model y:
Computed, not measured: CaCeGa after structural relaxation at the PBE-GGA level of DFT.

abc: 5.0983 5.0983 3.6634
angles: 90.00 90.00 120.00
Last column: nearest neighbours and their distance in Å.
Space group P3m1 (No. 156)
Symmetry-distinct sites (fractional):
Ca 0.0000 0.0000 0.0000  3 Ga 3.11, 3 Ce 3.35
Ce 0.3333 0.6667 0.5628  3 Ga 3.13, 3 Ca 3.35
Ga 0.6667 0.3333 0.2701  3 Ca 3.11, 3 Ce 3.13

Results
As for the crystal system: trigonal. As for the volume: 27.5 A^3/atom.



Energies relative to the minimum, meV/atom: model w 27; model x 0; model y 162



Model w:
Computed, not measured: CaCe2Ga6 after structural relaxation at the PBE-GGA level of DFT.

abc: 7.4174 7.4174 4.2620
angles: 90.00 90.00 120.00
Last column: nearest neighbours and their distance in Å.
Space group P6/mmm (No. 191)
Symmetry-distinct sites (fractional):
Ca 0.0000 0.0000 0.0000  12 Ga 3.27
Ce 0.3333 0.6667 0.0000  12 Ga 3.26
Ga 0.0000 0.3350 0.5000  3 Ga 2.45-2.48

Results
As for the crystal system: hexagonal. As for the volume: 22.6 A^3/atom.



Model x:
Computed, not measured: CaCe2Ga6 after structural relaxation at the PBE-GGA level of DFT.

abc: 4.5074 7.1732 12.9684
angles: 90.00 90.00 90.00
Last column: nearest neighbours and their distance in Å.
Space group Immm (No. 71)
Symmetry-distinct sites (fractional):
Ca 0.0000 0.0000 0.0000  4 Ga 3.11
Ce 0.0000 0.5000 0.1076  1 Ce 2.79, 6 Ga 2.96-3.02
Ga 0.0000 0.2018 0.5000  3 Ga 2.59-2.90
Ga 0.0000 0.3048 0.3086  4 Ga 2.59-2.83

Results
As for the crystal system: orthorhombic. As for the volume: 23.3 A^3/atom.



Energies relative to the minimum, meV/atom: model w 0; model x 130



Model w:
Computed, not measured: CaCeGd after structural relaxation at the PBE-GGA level of DFT.

abc: 3.5688 3.5688 16.1896
angles: 90.00 90.00 90.00
Last column: nearest neighbours and their distance in Å.
Space group I4mm (No. 107)
Symmetry-distinct sites (fractional):
Ca 0.0000 0.0000 0.0000  4 Ca 3.57, 4 Ce 3.79, 4 Gd 3.83
Ce 0.0000 0.0000 0.3256  4 Gd 3.48, 4 Ce 3.57, 4 Ca 3.79
Gd 0.0000 0.0000 0.6777  4 Ce 3.48, 4 Gd 3.57, 4 Ca 3.83

Results
As for the crystal system: tetragonal. As for the volume: 34.4 A^3/atom.



Model x:
Computed, not measured: CaCeGd after structural relaxation at the PBE-GGA level of DFT.

abc: 3.6131 3.6131 9.0742
angles: 90.00 90.00 120.00
Last column: nearest neighbours and their distance in Å.
Space group P3m1 (No. 156)
Symmetry-distinct sites (fractional):
Ca 0.0000 0.0000 0.0000  6 Ca 3.61, 3 Ce 3.77, 3 Gd 3.79
Ce 0.3333 0.6667 0.6542  3 Gd 3.47, 6 Ce 3.61, 3 Ca 3.77
Gd 0.6667 0.3333 0.3487  3 Ce 3.47, 6 Gd 3.61, 3 Ca 3.79

Results
As for the crystal system: trigonal. As for the volume: 34.2 A^3/atom.



Energies relative to the minimum, meV/atom: model w 20; model x 0